A plane-wave DFT calculation with PBE was carried out for an optimized crystal structure of TbDyOs4.

a b c (Å): 5.3621 5.3621 5.3621
angles (deg): 60.00 60.00 60.00
Atoms (fractional coordinates):
1 Tb 0.0000 0.0000 0.0000
2 Os 0.6250 0.6250 0.1251
3 Os 0.6250 0.1251 0.6250
4 Os 0.6250 0.6250 0.6250
5 Os 0.1251 0.6250 0.6250
6 Dy 0.2500 0.2500 0.2500

Values from the calculation:
For the calculated formation energy, the calculation gives -1.58 eV per formula unit. The spin magnetization is 0.000 μB/atom. Its space group is F-43m, No. 216. For the electronic total energy, the calculation gives -9.29 eV/atom.